# Li2PrInF8 | Alexandria | PBE-GGA | relaxed
# V	12.87	A^3/atom
# formation energy without anion corrections	-3134	meV/atom
# total magnetization	0.00	μB/f.u.
data_Li2PrInF8
_symmetry_space_group_name_H-M 'P -1'
_symmetry_Int_Tables_number 2
_symmetry_space_group_name_Hall '-P 1'
_cell_length_a 3.905
_cell_length_b 5.244
_cell_length_c 7.670
_cell_angle_alpha 83.18
_cell_angle_beta 89.62
_cell_angle_gamma 81.90
loop_
_atom_site_label
_atom_site_fract_x
_atom_site_fract_y
_atom_site_fract_z
Li1 0.061 0.047 0.301
Pr1 0.500 0.500 0.000
In1 0.500 0.500 0.500
F1 0.055 0.244 0.055
F2 0.068 0.256 0.515
F3 0.410 0.745 0.248
F4 0.427 0.750 0.707

=====

# Be3AsSe | Alexandria | PBE-GGA | relaxed
# V	16.37	A^3/atom
# formation energy without anion corrections	593	meV/atom
# total magnetization	0.00	μB/f.u.
# energy above the most stable polymorph in this dataset	0	meV per atom
data_Be3AsSe
_symmetry_space_group_name_H-M 'P m -3 m'
_symmetry_Int_Tables_number 221
_symmetry_space_group_name_Hall '-P 4 2 3'
_cell_length_a 4.342
_cell_length_b 4.342
_cell_length_c 4.342
_cell_angle_alpha 90.00
_cell_angle_beta 90.00
_cell_angle_gamma 90.00
loop_
_atom_site_label
_atom_site_fract_x
_atom_site_fract_y
_atom_site_fract_z
Be1 0.000 0.000 0.500
As1 0.000 0.000 0.000
Se1 0.500 0.500 0.500

=====

# TbPrDy2 | Alexandria | PBE-GGA | relaxed
# ΔH_f (0 K)	0.022	eV/atom
# V	32.73	A^3/atom
# total magnetization	0.00	μB/f.u.
# energy above the most stable polymorph in this dataset	23	meV per atom
data_TbPrDy2
_symmetry_space_group_name_H-M 'P 4/m m m'
_symmetry_Int_Tables_number 123
_symmetry_space_group_name_Hall '-P 4 2'
_cell_length_a 3.591
_cell_length_b 3.591
_cell_length_c 10.154
_cell_angle_alpha 90.00
_cell_angle_beta 90.00
_cell_angle_gamma 90.00
loop_
_atom_site_label
_atom_site_fract_x
_atom_site_fract_y
_atom_site_fract_z
Tb1 0.000 0.000 0.000
Pr1 0.000 0.000 0.500
Dy1 0.500 0.500 0.245

=====

# SrLiSiAs2 | Alexandria | PBE-GGA | relaxed
# V	22.58	A^3/atom
# formation energy without anion corrections	-416	meV/atom
# total magnetization	0.00	μB/f.u.
data_SrLiSiAs2
_symmetry_space_group_name_H-M 'C m m e'
_symmetry_Int_Tables_number 67
_symmetry_space_group_name_Hall '-C 2a 2'
_cell_length_a 5.896
_cell_length_b 13.082
_cell_length_c 5.856
_cell_angle_alpha 90.00
_cell_angle_beta 90.00
_cell_angle_gamma 90.00
loop_
_atom_site_label
_atom_site_fract_x
_atom_site_fract_y
_atom_site_fract_z
Sr1 0.000 0.250 0.238
Li1 0.250 0.000 0.500
Si1 0.000 0.000 0.000
As1 0.000 0.138 0.742

=====

# K2SrFe | Alexandria | PBE-GGA | relaxed
# ΔH_f (0 K)	0.697	eV/atom
# V	49.10	A^3/atom
# total magnetization	2.26	μB/f.u.
# energy above the most stable polymorph in this dataset	102	meV per atom
data_K2SrFe
_symmetry_space_group_name_H-M 'C 1 m 1'
_symmetry_Int_Tables_number 8
_symmetry_space_group_name_Hall 'C -2y'
_cell_length_a 11.141
_cell_length_b 3.880
_cell_length_c 9.534
_cell_angle_alpha 90.00
_cell_angle_beta 107.65
_cell_angle_gamma 90.00
loop_
_atom_site_label
_atom_site_fract_x
_atom_site_fract_y
_atom_site_fract_z
K1 0.000 0.000 0.000
K2 0.167 0.000 0.645
Sr1 0.344 0.000 0.323
Fe1 0.122 0.500 0.323

=====

# CdRuCl2 | Alexandria | PBE-GGA | relaxed
# V	25.61	A^3/atom
# formation energy without anion corrections	84	meV/atom
# total magnetization	2.00	μB/f.u.
# energy above the most stable polymorph in this dataset	279	meV per atom
data_CdRuCl2
_symmetry_space_group_name_H-M 'I m m 2'
_symmetry_Int_Tables_number 44
_symmetry_space_group_name_Hall 'I 2 -2'
_cell_length_a 3.233
_cell_length_b 6.817
_cell_length_c 9.296
_cell_angle_alpha 90.00
_cell_angle_beta 90.00
_cell_angle_gamma 90.00
loop_
_atom_site_label
_atom_site_fract_x
_atom_site_fract_y
_atom_site_fract_z
Cd1 0.000 0.000 0.000
Ru1 0.000 0.500 0.254
Cl1 0.000 0.000 0.577
Cl2 0.000 0.500 0.719

=====

# Rb3YSc3Te8 | Alexandria | PBE-GGA | relaxed
# V	36.55	A^3/atom
# formation energy without anion corrections	-1224	meV/atom
# total magnetization	0.00	μB/f.u.
data_Rb3YSc3Te8
_symmetry_space_group_name_H-M 'R -3 m'
_symmetry_Int_Tables_number 166
_symmetry_space_group_name_Hall '-R 3 2"'
_cell_length_a 8.4903
_cell_length_b 8.4903
_cell_length_c 26.3513
_cell_angle_alpha 90.00
_cell_angle_beta 90.00
_cell_angle_gamma 120.00
loop_
_atom_site_label
_atom_site_fract_x
_atom_site_fract_y
_atom_site_fract_z
Rb1 0.0000 0.5000 0.0000
Y1 0.0000 0.0000 0.5000
Sc1 0.0000 0.5000 0.5000
Te1 0.0000 0.0000 0.2299
Te2 0.0154 0.5077 0.7681

=====

# Ac8Ru3I3Br | Alexandria | PBE-GGA | relaxed
# V	38.68	A^3/atom
# formation energy without anion corrections	-669	meV/atom
# total magnetization	0.00	μB/f.u.
data_Ac8Ru3I3Br
_symmetry_space_group_name_H-M 'R -3 m'
_symmetry_Int_Tables_number 166
_symmetry_space_group_name_Hall '-R 3 2"'
_cell_length_a 9.0009
_cell_length_b 9.0009
_cell_length_c 24.8095
_cell_angle_alpha 90.00
_cell_angle_beta 90.00
_cell_angle_gamma 120.00
loop_
_atom_site_label
_atom_site_fract_x
_atom_site_fract_y
_atom_site_fract_z
Ac1 0.0000 0.0000 0.2304
Ac2 0.0341 0.5170 0.7683
Ru1 0.0000 0.5000 0.5000
I1 0.0000 0.5000 0.0000
Br1 0.0000 0.0000 0.5000

=====

# Zr3ScO | Alexandria | PBE-GGA | relaxed
# V	19.08	A^3/atom
# formation energy without anion corrections	-1066	meV/atom
# total magnetization	0.00	μB/f.u.
# energy above the most stable polymorph in this dataset	0	meV per atom
data_Zr3ScO
_symmetry_space_group_name_H-M 'P m -3 m'
_symmetry_Int_Tables_number 221
_symmetry_space_group_name_Hall '-P 4 2 3'
_cell_length_a 4.569
_cell_length_b 4.569
_cell_length_c 4.569
_cell_angle_alpha 90.00
_cell_angle_beta 90.00
_cell_angle_gamma 90.00
loop_
_atom_site_label
_atom_site_fract_x
_atom_site_fract_y
_atom_site_fract_z
Zr1 0.000 0.000 0.500
Sc1 0.500 0.500 0.500
O1 0.000 0.000 0.000

=====

# Ac4Nd2N | Alexandria | PBE-GGA | relaxed
# V	37.87	A^3/atom
# formation energy without anion corrections	-121	meV/atom
# total magnetization	0.00	μB/f.u.
data_Ac4Nd2N
_symmetry_space_group_name_H-M 'I 4/m m m'
_symmetry_Int_Tables_number 139
_symmetry_space_group_name_Hall '-I 4 2'
_cell_length_a 5.363
_cell_length_b 5.363
_cell_length_c 18.436
_cell_angle_alpha 90.00
_cell_angle_beta 90.00
_cell_angle_gamma 90.00
loop_
_atom_site_label
_atom_site_fract_x
_atom_site_fract_y
_atom_site_fract_z
Ac1 0.000 0.000 0.139
Ac2 0.000 0.500 0.000
Nd1 0.000 0.000 0.341
N1 0.000 0.000 0.000

=====

# NbFeGeH | Alexandria | PBE-GGA | relaxed
# V	12.40	A^3/atom
# total magnetization	0.00	μB/f.u.
# energy above the most stable polymorph in this dataset	0	meV per atom
data_NbFeGeH
_symmetry_space_group_name_H-M 'I m m 2'
_symmetry_Int_Tables_number 44
_symmetry_space_group_name_Hall 'I 2 -2'
_cell_length_a 4.169
_cell_length_b 4.232
_cell_length_c 5.621
_cell_angle_alpha 90.00
_cell_angle_beta 90.00
_cell_angle_gamma 90.00
loop_
_atom_site_label
_atom_site_fract_x
_atom_site_fract_y
_atom_site_fract_z
Nb1 0.000 0.000 0.000
Fe1 0.000 0.500 0.257
Ge1 0.000 0.000 0.499
H1 0.000 0.500 0.533

=====

# Na2CdP2Pd5 | Alexandria | PBE-GGA | relaxed
# ΔH_f (0 K)	-0.437	eV/atom
# V	17.25	A^3/atom
# total magnetization	0.00	μB/f.u.
data_Na2CdP2Pd5
_symmetry_space_group_name_H-M 'P 4/m b m'
_symmetry_Int_Tables_number 127
_symmetry_space_group_name_Hall '-P 4 2ab'
_cell_length_a 10.193
_cell_length_b 10.193
_cell_length_c 3.321
_cell_angle_alpha 90.00
_cell_angle_beta 90.00
_cell_angle_gamma 90.00
loop_
_atom_site_label
_atom_site_fract_x
_atom_site_fract_y
_atom_site_fract_z
Na1 0.174 0.326 0.000
Cd1 0.000 0.000 0.000
P1 0.126 0.626 0.000
Pd1 0.000 0.500 0.500
Pd2 0.069 0.783 0.500